Compound: Te3RuAu
Source: Alexandria
Functional: meta-GGA SCAN
Structure: PBEsol geometry

Cell and atoms, written as POSCAR:
```
Te3RuAu
1.0
-2.664 4.226 0.994
-3.677 -2.817 2.119
2.308 0.391 4.524
Te Au Ru
3 1 1
direct
0.000 0.000 0.500
0.500 0.000 0.000
0.000 0.500 0.000
0.500 0.500 0.500
0.000 0.000 0.000
```

- Symmetry: Pm-3m (221)
- Uncorrected energy: -42.46 eV/atom
- Formation energy (no corrections): 685 meV/atom

Compound: Mg2RhCl
Source: Alexandria
Functional: meta-GGA SCAN
Structure: PBEsol geometry

Cell and atoms, written as POSCAR:
```
Mg2RhCl
1.0
-1.627 -2.258 -2.405
-1.625 -1.784 2.775
-2.484 5.300 -0.483
Mg Cl Rh
2 1 1
direct
0.000 0.000 0.000
0.750 0.250 0.500
0.250 0.750 0.500
0.500 0.500 0.000
```

- Symmetry: I-4m2 (119)
- E above lowest polymorph: 0 meV per atom
- Uncorrected energy: -13.25 eV/atom
- Formation energy (no corrections): -325 meV/atom

Compound: CaTaMoPd2
Source: Alexandria
Functional: meta-GGA SCAN
Structure: PBEsol geometry

Cell and atoms, written as POSCAR:
```
CaTaMoPd2
1.0
-3.448 -1.263 -2.649
-2.545 -0.747 3.669
-1.511 4.428 -0.146
Pd Mo Ca Ta
2 1 1 1
direct
0.000 0.500 0.000
0.500 0.000 0.000
0.000 0.000 0.500
0.000 0.000 0.000
0.500 0.500 0.500
```

- Symmetry: P4/mmm (123)
- Uncorrected energy: -33.54 eV/atom
- Calculated formation energy: 8.97 eV per formula unit